1.
! DyTlSe2O8 (PBE, relaxed); values from VASP
&SYSTEM
  ibrav = 0, nat = 12, ntyp = 4
/
ATOMIC_SPECIES
Dy 162.50 Dy.upf
Tl 204.38 Tl.upf
Se 78.96 Se.upf
O 16.00 O.upf
ATOMIC_POSITIONS crystal
Dy 0.000 0.000 0.000
Tl 0.000 0.000 0.500
Se 0.361 0.361 0.218
Se 0.639 0.639 0.782
O 0.230 0.698 0.190
O 0.231 0.231 0.078
O 0.301 0.301 0.397
O 0.302 0.770 0.810
O 0.698 0.230 0.190
O 0.699 0.699 0.603
O 0.769 0.769 0.922
O 0.770 0.302 0.810
CELL_PARAMETERS angstrom
4.640 -2.903 0.000
4.640 2.903 0.000
-0.282 0.000 8.567
! formation energy from raw total energies: -1599 kJ/mol of formula units
! crystal system: monoclinic
! total magnetic moment: 0.000 μB/cell

2.
! DyTmSe2O (PBE, relaxed); values from VASP
&SYSTEM
  ibrav = 0, nat = 10, ntyp = 4
/
ATOMIC_SPECIES
Dy 162.50 Dy.upf
Tm 168.93 Tm.upf
Se 78.96 Se.upf
O 16.00 O.upf
ATOMIC_POSITIONS crystal
Dy 0.250 0.250 0.077
Dy 0.750 0.750 0.923
Tm 0.250 0.250 0.627
Tm 0.750 0.750 0.373
Se 0.250 0.250 0.412
Se 0.250 0.250 0.807
Se 0.750 0.750 0.193
Se 0.750 0.750 0.588
O 0.250 0.750 0.000
O 0.750 0.250 0.000
CELL_PARAMETERS angstrom
3.941 0.000 0.000
0.000 3.941 0.000
0.000 0.000 14.419
! formation energy from raw total energies: -1163 kJ/mol of formula units
! crystal system: tetragonal
! total magnetic moment: 0.000 μB/cell